! CeMg3 | Alexandria via LeMat-Bulk | PBE | optimized geometry; values from VASP
! magnetic moment	1.5	Bohr magnetons per cell
! V	103	Å³/f.u.
! energy relative to the elements	0.39	eV/f.u.
&SYSTEM
  ibrav = 0, nat = 4, ntyp = 2
/
ATOMIC_SPECIES
Mg 24.30 Mg.upf
Ce 140.12 Ce.upf
ATOMIC_POSITIONS angstrom
Mg -1.540 -3.113 2.752
Mg 5.729 1.366 0.922
Mg 3.470 -0.151 2.752
Ce 0.893 -1.511 0.931
CELL_PARAMETERS angstrom
6.545 -0.014 0.026
3.142 5.741 -0.026
-3.878 -4.497 2.752